Ca3AlCd2 | GGA-PBE | relaxed Values from VASP.

Geometry as Quantum ESPRESSO input:
```
&SYSTEM
  ibrav = 0, nat = 6, ntyp = 3
/
ATOMIC_SPECIES
Ca 40.08 Ca.upf
Al 26.98 Al.upf
Cd 112.41 Cd.upf
CELL_PARAMETERS angstrom
-1.877 -2.290 -2.400
0.841 -2.996 2.201
-9.514 1.643 5.871
ATOMIC_POSITIONS crystal
Ca 0.000 0.000 0.341
Ca 0.000 0.000 0.659
Ca 0.000 0.000 0.000
Al 0.500 0.500 0.500
Cd 0.500 0.500 0.175
Cd 0.500 0.500 0.825
```

Results
size of the total moment = 0.000 μB per formula unit
energy = -2.236 eV per atom

BaPd2W | GGA-PBE | relaxed Values from VASP.

Geometry as Quantum ESPRESSO input:
```
&SYSTEM
  ibrav = 0, nat = 8, ntyp = 3
/
ATOMIC_SPECIES
Pd 106.42 Pd.upf
W 183.84 W.upf
Ba 137.33 Ba.upf
CELL_PARAMETERS angstrom
-1.980 4.970 0.417
-4.659 -2.003 1.752
-0.586 1.920 8.851
ATOMIC_POSITIONS crystal
Pd 0.876 0.125 0.250
Pd 0.874 0.625 0.250
Pd 0.875 0.126 0.750
Pd 0.375 0.124 0.750
W 0.750 0.250 0.500
W 0.000 0.000 0.000
Ba 0.250 0.750 0.500
Ba 0.500 0.500 0.000
```

Results
size of the total moment = 0.000 μB per formula unit
energy = -5.762 eV per atom

Tb7NdHg2 | GGA-PBE | relaxed Values from VASP.

Geometry as Quantum ESPRESSO input:
```
&SYSTEM
  ibrav = 0, nat = 10, ntyp = 3
/
ATOMIC_SPECIES
Tb 158.93 Tb.upf
Nd 144.24 Nd.upf
Hg 200.59 Hg.upf
CELL_PARAMETERS angstrom
5.379 0.000 0.000
0.000 8.877 -0.143
0.000 -4.044 7.903
ATOMIC_POSITIONS crystal
Tb 0.500 0.305 0.061
Tb 0.000 0.761 0.239
Tb 0.500 0.939 0.695
Tb 0.500 0.061 0.305
Tb 0.000 0.239 0.761
Tb 0.500 0.695 0.939
Tb 0.500 0.500 0.500
Nd 0.000 0.000 0.000
Hg 0.500 0.695 0.305
Hg 0.500 0.305 0.695
```

Results
size of the total moment = 2.092 μB per formula unit
energy = -3.500 eV per atom

Tl12Hg3H5 | GGA-PBE | relaxed Values from VASP.

Geometry as Quantum ESPRESSO input:
```
&SYSTEM
  ibrav = 0, nat = 80, ntyp = 3
/
ATOMIC_SPECIES
Tl 204.38 Tl.upf
H 1.01 H.upf
Hg 200.59 Hg.upf
CELL_PARAMETERS angstrom
13.840 0.000 0.000
-4.613 13.049 0.000
-4.613 -6.524 11.301
ATOMIC_POSITIONS crystal
Tl 0.908 0.814 0.803
Tl 0.408 0.303 0.314
Tl 0.406 0.395 0.592
Tl 0.605 0.011 0.197
Tl 0.803 0.314 0.908
Tl 0.989 0.395 0.303
Tl 0.092 0.186 0.197
Tl 0.686 0.197 0.592
Tl 0.406 0.011 0.314
Tl 0.408 0.105 0.594
Tl 0.814 0.906 0.011
Tl 0.989 0.594 0.186
Tl 0.489 0.686 0.094
Tl 0.697 0.592 0.186
Tl 0.803 0.489 0.395
Tl 0.197 0.686 0.092
Tl 0.814 0.908 0.303
Tl 0.011 0.406 0.814
Tl 0.395 0.406 0.092
Tl 0.094 0.908 0.105
Tl 0.186 0.094 0.989
Tl 0.303 0.408 0.814
Tl 0.395 0.989 0.803
Tl 0.895 0.592 0.906
Tl 0.594 0.605 0.408
Tl 0.303 0.895 0.989
Tl 0.105 0.697 0.511
Tl 0.605 0.594 0.908
Tl 0.314 0.803 0.408
Tl 0.594 0.989 0.686
Tl 0.489 0.803 0.895
Tl 0.906 0.814 0.511
Tl 0.592 0.895 0.406
Tl 0.092 0.906 0.395
Tl 0.094 0.186 0.489
Tl 0.186 0.092 0.697
Tl 0.011 0.605 0.697
Tl 0.592 0.697 0.686
Tl 0.906 0.092 0.895
Tl 0.511 0.197 0.105
Tl 0.511 0.314 0.906
Tl 0.197 0.511 0.605
Tl 0.686 0.489 0.594
Tl 0.105 0.408 0.094
Tl 0.908 0.094 0.605
Tl 0.697 0.105 0.011
Tl 0.895 0.303 0.489
Tl 0.314 0.511 0.406
H 0.625 0.875 0.250
H 0.250 0.875 0.125
H 0.500 0.500 0.500
H 0.250 0.375 0.625
H 0.875 0.625 0.750
H 0.750 0.125 0.875
H 0.500 0.500 0.000
H 0.000 0.000 0.000
H 0.375 0.250 0.125
H 0.750 0.625 0.375
H 0.875 0.250 0.625
H 0.125 0.750 0.375
H 0.125 0.375 0.250
H 0.000 0.500 0.000
H 0.375 0.125 0.750
H 0.500 0.000 0.000
H 0.625 0.750 0.875
H 0.500 0.000 0.500
H 0.000 0.000 0.500
H 0.000 0.500 0.500
Hg 0.875 0.125 0.250
Hg 0.625 0.250 0.375
Hg 0.625 0.375 0.750
Hg 0.250 0.625 0.875
Hg 0.125 0.875 0.750
Hg 0.125 0.250 0.875
Hg 0.375 0.750 0.625
Hg 0.875 0.750 0.125
Hg 0.750 0.875 0.625
Hg 0.375 0.625 0.250
Hg 0.250 0.125 0.375
Hg 0.750 0.375 0.125
```

Results
size of the total moment = 0.000 μB per formula unit
energy = -2.074 eV per atom

Q: Which value of energy does entry 1 give?
A: -2.236 eV per atom

Q: Among the records above, which one has the highest energy?
A: Tl12Hg3H5